Record 1
# Y6InSe5

A relaxed structure of Y6InSe5 (PBE-GGA, the Alexandria database).

Computed properties:
Total magnetization in Bohr magnetons per cell: 0.00
Volume in Å³/cell: 302.7
Energy relative to the elements, uncorrected in meV per atom: -1545

Geometry as POSCAR:
```
Y6InSe5
1.0
3.599 -6.211 0.000
3.599 6.211 0.000
-2.371 0.000 6.771
Y In Se
6 1 5
Cartesian
0.011 2.097 5.061
1.177 0.000 1.697
0.011 -2.097 5.061
4.817 2.097 1.710
3.651 0.000 5.074
4.817 -2.097 1.710
3.599 0.000 0.000
-1.185 0.000 3.385
3.599 4.138 0.000
2.414 2.059 3.385
2.414 -2.059 3.385
3.599 -4.138 0.000
```

Record 2
# YIn2Se

A relaxed structure of YIn2Se (PBE-GGA, the Alexandria database).

Computed properties:
Total magnetization in Bohr magnetons per cell: 0.00
Volume in Å³/cell: 210.4
Energy relative to the elements, uncorrected in meV per atom: -552

Geometry as POSCAR:
```
YIn2Se
1.0
3.758 0.000 0.000
0.000 5.416 0.000
0.000 0.000 10.337
Y In Se
2 4 2
Cartesian
0.000 0.000 0.000
1.879 2.708 5.169
0.000 0.000 5.596
0.000 2.708 7.924
1.879 0.000 2.755
1.879 2.708 0.428
0.000 2.708 3.037
1.879 0.000 8.205
```

Copy entry 1 word for word.
# Y6InSe5

A relaxed structure of Y6InSe5 (PBE-GGA, the Alexandria database).

Computed properties:
Total magnetization in Bohr magnetons per cell: 0.00
Volume in Å³/cell: 302.7
Energy relative to the elements, uncorrected in meV per atom: -1545

Geometry as POSCAR:
```
Y6InSe5
1.0
3.599 -6.211 0.000
3.599 6.211 0.000
-2.371 0.000 6.771
Y In Se
6 1 5
Cartesian
0.011 2.097 5.061
1.177 0.000 1.697
0.011 -2.097 5.061
4.817 2.097 1.710
3.651 0.000 5.074
4.817 -2.097 1.710
3.599 0.000 0.000
-1.185 0.000 3.385
3.599 4.138 0.000
2.414 2.059 3.385
2.414 -2.059 3.385
3.599 -4.138 0.000
```